! Pm4CdSn2 | Alexandria via LeMat-Bulk | PBE | relaxed; values from VASP
&SYSTEM
  ibrav = 0, nat = 7, ntyp = 3
/
ATOMIC_SPECIES
Pm 145.00 Pm.upf
Cd 112.41 Cd.upf
Sn 118.71 Sn.upf
CELL_PARAMETERS angstrom
-3.1321 -4.8668 -1.0731
3.3546 -2.9961 3.7970
-4.1667 5.4818 3.4442
ATOMIC_POSITIONS crystal
Pm 0.7500 0.2500 0.5000
Pm 0.2500 0.7500 0.5000
Pm 0.5000 0.0000 0.0000
Pm 0.0000 0.5000 0.0000
Cd 0.0000 0.0000 0.0000
Sn 0.6275 0.6275 0.2550
Sn 0.3725 0.3725 0.7450
! * ΔE_f: -222.6 meV per atom
! * mass density: 6.880 g/cm³